(1)
DFT (GGA-PBE) results for a geometry-optimized Sm6Ho3Pu structure.

abc: 5.8462 9.9328 11.8587
angles: 90.00 104.78 90.00
Sites, in units of the cell vectors:
Sm: 0.4749 0.8519 0.8851
Sm: 0.5100 0.8161 0.5233
Sm: 0.3730 0.4804 0.2412
Sm: 0.6270 0.5196 0.7588
Sm: 0.4900 0.1839 0.4767
Sm: 0.5251 0.1481 0.1149
Sm: 0.9749 0.6481 0.3851
Sm: 0.0100 0.6839 0.0233
Sm: 0.8730 0.0196 0.7412
Sm: 0.1270 0.9804 0.2588
Sm: 0.9900 0.3161 0.9767
Sm: 0.0251 0.3519 0.6149
Ho: 0.4279 0.1889 0.8151
Ho: 0.5000 0.5000 0.0000
Ho: 0.5721 0.8111 0.1849
Ho: 0.9279 0.3111 0.3151
Ho: 0.0000 0.0000 0.5000
Ho: 0.0721 0.6889 0.6849
Pu: 0.5000 0.5000 0.5000
Pu: 0.0000 0.0000 0.0000

Output
- Magnetization: 13.3 Bohr magnetons per cell
- Symmetry: No. 14
- Mass density: 8185 kg/m3
- Total energy: -5.389 eV per atom
- E_form: 240 kJ/mol of formula units


(2)
DFT (GGA-PBE) results for a geometry-optimized Sm2Ho12Pu structure.

abc: 8.5897 8.5897 13.5028
angles: 100.63 79.37 101.30
Sites, in units of the cell vectors:
Sm: 0.8336 0.6664 0.8818
Sm: 0.3160 0.1840 0.8809
Sm: 0.6664 0.8336 0.1182
Sm: 0.1840 0.3160 0.1191
Ho: 0.9692 0.9765 0.2769
Ho: 0.5235 0.5308 0.2769
Ho: 0.9258 0.5742 0.6091
Ho: 0.5975 0.3320 0.4631
Ho: 0.1492 0.9053 0.0335
Ho: 0.9025 0.1680 0.5369
Ho: 0.7069 0.2395 0.7720
Ho: 0.5947 0.3508 0.0335
Ho: 0.3766 0.1234 0.6327
Ho: 0.5742 0.9258 0.3909
Ho: 0.1048 0.3952 0.7700
Ho: 0.7931 0.2605 0.2280
Ho: 0.9053 0.1492 0.9665
Ho: 0.3952 0.1048 0.2300
Ho: 0.1234 0.3766 0.3673
Ho: 0.8535 0.6465 0.3838
Ho: 0.6465 0.8535 0.6162
Ho: 0.5308 0.5235 0.7231
Ho: 0.2605 0.7931 0.7720
Ho: 0.3508 0.5947 0.9665
Ho: 0.1680 0.9025 0.4631
Ho: 0.9765 0.9692 0.7231
Ho: 0.2395 0.7069 0.2280
Ho: 0.3320 0.5975 0.5369
Pu: 0.5635 0.9365 0.9012
Pu: 0.9365 0.5635 0.0988

Output
- Magnetization: 12.7 Bohr magnetons per cell
- Symmetry: No. 12
- Mass density: 8835 kg/m3
- Total energy: -5.114 eV per atom
- E_form: 192 kJ/mol of formula units


(3)
DFT (GGA-PBE) results for a geometry-optimized SmHo2Pu structure.

abc: 4.9730 4.9756 4.9756
angles: 90.00 90.00 90.00
Sites, in units of the cell vectors:
Ho: 0.0000 0.0000 0.5000
Ho: 0.0000 0.5000 0.0000
Sm: 0.5000 0.5000 0.5000
Pu: 0.5000 0.0000 0.0000

Output
- Relative energy among the computed polymorphs: 0.99 kcal/mol of atoms
- Magnetization: 6.2 Bohr magnetons per cell
- Symmetry: No. 123
- Mass density: 9768 kg/m3
- Total energy: -6.910 eV per atom
- E_form: 55 kJ/mol of formula units


(4)
DFT (GGA-PBE) results for a geometry-optimized SmHo2Pu structure.

abc: 3.5377 3.5377 11.5853
angles: 81.22 81.22 60.00
Sites, in units of the cell vectors:
Sm: 0.5005 0.5005 0.4984
Ho: 0.0813 0.0813 0.7560
Ho: 0.2519 0.2519 0.2442
Pu: 0.6662 0.6662 0.0014

Output
- Relative energy among the computed polymorphs: 0.06 kcal/mol of atoms
- Magnetization: 6.0 Bohr magnetons per cell
- Symmetry: No. 160
- Mass density: 9730 kg/m3
- Total energy: -6.951 eV per atom
- E_form: 39 kJ/mol of formula units